Entry 1:
# PdBr3O

Crystalline PdBr3O at its relaxed geometry (PBE, Alexandria).

Uncorrected energy = -2.252 eV per atom
Energy relative to the lowest polymorph listed for this composition = 830 meV/atom
Calculated volume = 26.0 Å³ per atom
E_form (uncorrected) = 782 meV/atom
D(E_F) = 3.67 states/eV/atom

Lattice parameters (Å, degrees): 5.0670 5.0670 5.0670 90.00 90.00 90.00
Closest atoms and distances in Å follow each position.
Space group Pm-3m (No. 221)
Unique sites:
Pd  0.0000  0.0000  0.0000 x1  6 Br 2.53
Br  0.0000  0.0000  0.5000 x3  2 Pd 2.53
O  0.5000  0.5000  0.5000 x1  12 Br 3.58

***

Entry 2:
# PdBrO2

Crystalline PdBrO2 at its relaxed geometry (PBE, Alexandria).

Uncorrected energy = -4.158 eV per atom
Calculated volume = 15.5 Å³ per atom
E_form (uncorrected) = 38 meV/atom
D(E_F) = 0.87 states/eV/atom

Lattice parameters (Å, degrees): 3.3687 3.3687 6.3167 90.00 90.00 120.00
Closest atoms and distances in Å follow each position.
Space group P3m1 (No. 156)
Unique sites:
Pd  0.0000  0.0000  0.0000 x1  6 O 2.12-2.19
Br  0.3333  0.6667  0.5397 x1  1 O 1.90
O  0.3333  0.6667  0.8405 x1  1 Br 1.90
O  0.6667  0.3333  0.1349 x1  3 Pd 2.12

***

Entry 3:
# PdBr2O

Crystalline PdBr2O at its relaxed geometry (PBE, Alexandria).

Uncorrected energy = -2.596 eV per atom
Calculated volume = 16.8 Å³ per atom
E_form (uncorrected) = 778 meV/atom
D(E_F) = 0.60 states/eV/atom

Lattice parameters (Å, degrees): 6.4523 6.4523 6.4523 90.00 90.00 90.00
Closest atoms and distances in Å follow each position.
Space group Fm-3m (No. 225)
Unique sites:
Pd  0.0000  0.0000  0.0000 x4  8 Br 2.79
Br  0.2500  0.2500  0.2500 x8  4 O 2.79, 4 Pd 2.79
O  0.0000  0.0000  0.5000 x4  8 Br 2.79

***

Entry 4:
# PdBrO2

Crystalline PdBrO2 at its relaxed geometry (PBE, Alexandria).

Uncorrected energy = -4.234 eV per atom
Calculated volume = 14.7 Å³ per atom
E_form (uncorrected) = -38 meV/atom
D(E_F) = 0.45 states/eV/atom

Lattice parameters (Å, degrees): 7.2315 5.5313 3.3093 90.00 117.08 90.00
Closest atoms and distances in Å follow each position.
Space group C2/m (No. 12)
Unique sites:
Pd  0.0000  0.0000  0.0000 x2  4 O 2.07
Br  0.0000  0.5000  0.0000 x2  2 O 1.98
O  0.1924  0.0000  0.6913 x4  1 Br 1.98, 2 Pd 2.07

***

Entry 5:
# PdBrO2

Crystalline PdBrO2 at its relaxed geometry (PBE, Alexandria).

Uncorrected energy = -3.977 eV per atom
Calculated volume = 18.7 Å³ per atom
E_form (uncorrected) = 218 meV/atom
D(E_F) = 0.00 states/eV/atom

Lattice parameters (Å, degrees): 8.0038 4.4423 10.0136 90.00 122.61 90.00
Closest atoms and distances in Å follow each position.
Space group P2_1/c (No. 14)
Unique sites:
Pd  0.0688  0.2078  0.4591 x4  2 O 2.08-2.16
Br  0.2547  0.6538  0.2687 x4  2 O 1.74-1.78
O  0.2537  0.5268  0.4329 x4  1 Br 1.74
O  0.3137  0.1595  0.6899 x4  1 Br 1.78

***

Entry 6:
# PdBrO2

Crystalline PdBrO2 at its relaxed geometry (PBE, Alexandria).

Uncorrected energy = -4.179 eV per atom
Calculated volume = 19.0 Å³ per atom
E_form (uncorrected) = 16 meV/atom
D(E_F) = 0.37 states/eV/atom

Lattice parameters (Å, degrees): 5.7791 7.5938 6.9214 90.00 90.00 90.00
Closest atoms and distances in Å follow each position.
Space group Pna2_1 (No. 33)
Unique sites:
Pd  0.0142  0.0231  0.0000 x4  3 O 1.91-2.07
Br  0.1064  0.4767  0.6580 x4  1 O 1.83
O  0.1203  0.9470  0.7522 x4  2 Pd 1.91-1.92
O  0.1999  0.3914  0.8931 x4  1 Br 1.83

***

Number 3 is which compound?
PdBr2O

***

Number 5 is which compound?
PdBrO2

***

Which formula does entry 1 have?
PdBr3O

***

Which formula does entry 6 have?
PdBrO2